Below is a geometry-optimized BaTmIr structure, with properties calculated at the PBE-GGA level.

a = 4.7034 Å, b = 4.7034 Å, c = 8.2555 Å
α = 90.00°, β = 90.00°, γ = 90.00°
Atoms (fractional coordinates):
Ba: 0.0000 0.5000 0.8556
Ba: 0.5000 0.0000 0.1444
Ir: 0.0000 0.5000 0.3090
Ir: 0.5000 0.0000 0.6910
Tm: 0.5000 0.5000 0.5000
Tm: 0.0000 0.0000 0.5000

The space group is No. 129. The formation energy is -1.60 eV/f.u. The mass density comes out at 9.06 g cm⁻³. Its total DFT energy (no corrections) is -33.71 eV per cell. As for the density of states at the Fermi level: 1.13 states/eV/f.u.